The following is a DFT calculation (GGA-PBE) of a relaxed structure of Sr2GaS.

size of the total moment: 0.0 Bohr magnetons per cell
density of states at the Fermi level: 4.1 states/eV/cell
formation energy without anion corrections: -0.841 eV/atom
energy: -3.471 eV per atom
space-group type: I-42d, No. 122

Geometry as extended XYZ:
```
8
Lattice="-4.040 4.040 4.257 4.040 -4.040 4.257 4.040 4.040 -4.257" Properties=species:S:1:pos:R:3 pbc="T T T"
Sr 6.059 1.712 -1.064
Sr 1.712 2.020 1.064
Sr -2.020 2.327 3.193
Sr 2.327 2.020 5.322
Ga 4.040 0.000 2.129
Ga 0.000 0.000 4.257
S 0.000 0.000 0.000
S 0.000 4.040 2.129
```

=====

The following is a DFT calculation (GGA-PBE) of a relaxed structure of Cd2SnBI.

size of the total moment: 0.0 Bohr magnetons per cell
density of states at the Fermi level: 6.6 states/eV/cell
formation energy without anion corrections: 1.666 eV/atom
energy: -1.146 eV per atom
space-group type: P4/mmm, No. 123

Geometry as extended XYZ:
```
5
Lattice="5.944 0.000 0.000 0.000 5.944 0.000 0.000 0.000 6.042" Properties=species:S:1:pos:R:3 pbc="T T T"
Cd 0.000 2.972 0.000
Cd 2.972 0.000 0.000
Sn 0.000 0.000 3.021
B 2.972 2.972 3.021
I 0.000 0.000 0.000
```

=====

The following is a DFT calculation (GGA-PBE) of a relaxed structure of Er2Ni6Ge.

size of the total moment: 0.0 Bohr magnetons per cell
E_form: -472 meV per atom
density of states at the Fermi level: 4.9 states/eV/cell
energy: -5.854 eV per atom
space-group type: C2/m, No. 12

Geometry as extended XYZ:
```
9
Lattice="4.472 -2.623 0.000 4.472 2.623 0.000 -1.348 0.000 5.571" Properties=species:S:1:pos:R:3 pbc="T T T"
Er 0.825 0.000 1.889
Er 6.771 0.000 3.682
Ni 3.023 1.374 0.940
Ni 4.573 1.374 4.630
Ni 2.286 0.000 4.589
Ni 5.310 0.000 0.982
Ni 3.023 -1.374 0.940
Ni 4.573 -1.374 4.630
Ge 3.798 0.000 2.785
```

=====

The following is a DFT calculation (GGA-PBE) of a relaxed structure of HfBiAs2Br.

size of the total moment: 0.0 Bohr magnetons per cell
density of states at the Fermi level: 2.6 states/eV/cell
formation energy without anion corrections: -0.031 eV/atom
energy: -4.993 eV per atom
space-group type: P4/mmm, No. 123

Geometry as extended XYZ:
```
5
Lattice="5.279 0.000 0.000 0.000 5.279 0.000 0.000 0.000 5.064" Properties=species:S:1:pos:R:3 pbc="T T T"
Hf 0.000 0.000 0.000
Bi 2.640 2.640 2.532
As 0.000 2.640 0.000
As 2.640 0.000 0.000
Br 0.000 0.000 2.532
```

=====

Question: Number 2 is which compound?
Answer: Cd2SnBI

=====

Question: energy of number 1 (Sr2GaS)?
Answer: -3.471 eV per atom